First-principles (PBE) data for a geometry-optimized LaPuTl structure, as listed in the Open Quantum Materials Database.

Summary:
energy above the most stable polymorph in this dataset = 0 kJ/mol of formula units
space-group type = No. 216

a b c (Å): 5.353 5.353 5.353
angles (deg): 60.00 60.00 60.00
Element x y z (fractional)
1 La 0.000 0.000 0.000
2 Pu 0.500 0.500 0.500
3 Tl 0.250 0.250 0.250

First-principles (PBE) data for a geometry-optimized TlSi5Pd3 structure, as listed in the Open Quantum Materials Database.

Summary:
final energy = -4.997 eV per atom
space-group type = No. 191

a b c (Å): 5.540 5.540 6.043
angles (deg): 90.00 90.00 120.00
Element x y z (fractional)
1 Tl 0.000 0.000 0.000
2 Si 0.000 0.000 0.500
3 Si 0.333 0.667 0.191
4 Si 0.333 0.667 0.809
5 Si 0.667 0.333 0.191
6 Si 0.667 0.333 0.809
7 Pd 0.000 0.500 0.500
8 Pd 0.500 0.000 0.500
9 Pd 0.500 0.500 0.500

First-principles (PBE) data for a geometry-optimized InTcSn2 structure, as listed in the Open Quantum Materials Database.

Summary:
final energy = -4.702 eV per atom
space-group type = No. 216

a b c (Å): 4.966 4.966 4.966
angles (deg): 60.00 60.00 60.00
Element x y z (fractional)
1 In 0.000 0.000 0.000
2 Tc 0.750 0.750 0.750
3 Sn 0.250 0.250 0.250
4 Sn 0.500 0.500 0.500

First-principles (PBE) data for a geometry-optimized TbYCo2Si2C structure, as listed in the Open Quantum Materials Database.

Summary:
final energy = -7.168 eV per atom
space-group type = No. 8

a b c (Å): 5.623 5.623 6.797
angles (deg): 126.74 126.74 40.33
Element x y z (fractional)
1 Tb 0.000 0.000 0.000
2 Y 0.127 0.127 0.594
3 Co 0.365 0.365 0.209
4 Co 0.762 0.762 0.385
5 Si 0.407 0.407 0.593
6 Si 0.720 0.720 0.001
7 C 0.564 0.564 0.297

First-principles (PBE) data for a geometry-optimized HfZrAl structure, as listed in the Open Quantum Materials Database.

Summary:
energy above the most stable polymorph in this dataset = 0 kJ/mol of formula units
space-group type = No. 216

a b c (Å): 4.610 4.610 4.610
angles (deg): 60.00 60.00 60.00
Element x y z (fractional)
1 Hf 0.000 0.000 0.000
2 Zr 0.500 0.500 0.500
3 Al 0.250 0.250 0.250

First-principles (PBE) data for a geometry-optimized ErZrAsO structure, as listed in the Open Quantum Materials Database.

Summary:
energy above the most stable polymorph in this dataset = 0 kJ/mol of formula units
space-group type = No. 129

a b c (Å): 4.142 4.142 8.738
angles (deg): 90.00 90.00 90.00
Element x y z (fractional)
1 Er 0.250 0.250 0.111
2 Er 0.750 0.750 0.889
3 Zr 0.250 0.750 0.500
4 Zr 0.750 0.250 0.500
5 As 0.250 0.250 0.702
6 As 0.750 0.750 0.298
7 O 0.250 0.750 0.000
8 O 0.750 0.250 0.000

First-principles (PBE) data for a geometry-optimized CuAg7 structure, as listed in the Open Quantum Materials Database.

Summary:
formation energy = 0.035 eV/atom
energy above the most stable polymorph in this dataset = 9 kJ/mol of formula units
space-group type = No. 123

a b c (Å): 4.100 4.100 8.223
angles (deg): 90.00 90.00 90.00
Element x y z (fractional)
1 Cu 0.000 0.000 0.000
2 Ag 0.000 0.000 0.500
3 Ag 0.000 0.500 0.242
4 Ag 0.000 0.500 0.758
5 Ag 0.500 0.000 0.242
6 Ag 0.500 0.000 0.758
7 Ag 0.500 0.500 0.000
8 Ag 0.500 0.500 0.500

First-principles (PBE) data for a geometry-optimized Pa2AlSi2 structure, as listed in the Open Quantum Materials Database.

Summary:
final energy = -7.191 eV per atom
space-group type = No. 71

a b c (Å): 5.633 5.633 5.633
angles (deg): 138.96 119.47 75.74
Element x y z (fractional)
1 Pa 0.218 0.218 0.000
2 Pa 0.782 0.782 0.000
3 Al 0.500 0.000 0.500
4 Si 0.208 0.500 0.708
5 Si 0.792 0.500 0.292

First-principles (PBE) data for a geometry-optimized RbCuPdSe3 structure, as listed in the Open Quantum Materials Database.

Summary:
energy above the most stable polymorph in this dataset = 0 kJ/mol of formula units
space-group type = No. 63

a b c (Å): 7.689 7.689 10.342
angles (deg): 90.00 90.00 150.87
Element x y z (fractional)
1 Rb 0.249 0.751 0.750
2 Rb 0.751 0.249 0.250
3 Cu 0.458 0.542 0.250
4 Cu 0.542 0.458 0.750
5 Pd 0.000 0.000 0.000
6 Pd 0.000 0.000 0.500
7 Se 0.054 0.946 0.250
8 Se 0.390 0.610 0.038
9 Se 0.390 0.610 0.462
10 Se 0.610 0.390 0.538
11 Se 0.610 0.390 0.962
12 Se 0.946 0.054 0.750

First-principles (PBE) data for a geometry-optimized Tl2Fe2Cl7 structure, as listed in the Open Quantum Materials Database.

Summary:
final energy = -3.992 eV per atom
space-group type = No. 12

a b c (Å): 7.862 7.862 6.464
angles (deg): 95.90 95.90 103.25
Element x y z (fractional)
1 Tl 0.202 0.798 0.000
2 Tl 0.798 0.202 0.000
3 Fe 0.276 0.276 0.571
4 Fe 0.724 0.724 0.429
5 Cl 0.103 0.404 0.753
6 Cl 0.133 0.133 0.265
7 Cl 0.404 0.103 0.753
8 Cl 0.500 0.500 0.500
9 Cl 0.596 0.897 0.247
10 Cl 0.867 0.867 0.735
11 Cl 0.897 0.596 0.247

First-principles (PBE) data for a geometry-optimized Na2Sc2InSnPd2 structure, as listed in the Open Quantum Materials Database.

Summary:
final energy = -4.491 eV per atom
space-group type = No. 115

a b c (Å): 4.756 4.756 6.775
angles (deg): 90.00 90.00 90.00
Element x y z (fractional)
1 Na 0.000 0.500 0.249
2 Na 0.500 0.000 0.751
3 Sc 0.000 0.000 0.000
4 Sc 0.500 0.500 0.500
5 In 0.500 0.500 0.000
6 Sn 0.000 0.000 0.500
7 Pd 0.000 0.500 0.747
8 Pd 0.500 0.000 0.253

First-principles (PBE) data for a geometry-optimized Ac2Sn5Pd3 structure, as listed in the Open Quantum Materials Database.

Summary:
final energy = -5.126 eV per atom
space-group type = No. 72

a b c (Å): 9.298 9.298 9.298
angles (deg): 106.15 89.00 137.67
Element x y z (fractional)
1 Ac 0.136 0.235 0.371
2 Ac 0.364 0.735 0.099
3 Ac 0.636 0.265 0.901
4 Ac 0.864 0.765 0.629
5 Sn 0.017 0.750 0.267
6 Sn 0.098 0.655 0.753
7 Sn 0.250 0.250 0.000
8 Sn 0.402 0.155 0.557
9 Sn 0.483 0.750 0.733
10 Sn 0.517 0.250 0.267
11 Sn 0.598 0.845 0.443
12 Sn 0.750 0.750 0.000
13 Sn 0.902 0.345 0.247
14 Sn 0.983 0.250 0.733
15 Pd 0.137 0.887 0.024
16 Pd 0.250 0.750 0.500
17 Pd 0.363 0.387 0.751
18 Pd 0.637 0.613 0.249
19 Pd 0.750 0.250 0.500
20 Pd 0.863 0.113 0.976